No. 1
Density functional theory data (SCAN) for MoAu3 at its PBEsol-relaxed geometry.

Cell: 5.4014 5.4014 5.4014 Å, 117.29 117.29 117.29°
Closest atoms and distances in Å follow each position.
Element x y z (fractional)
Mo  0.0000  0.0000  0.0000  2 Mo 2.69, 6 Au 2.81
Au  0.0000  0.5000  0.5000  6 Au 2.69-2.81, 2 Mo 2.81
Au  0.5000  0.0000  0.5000  6 Au 2.69-2.81, 2 Mo 2.81
Au  0.5000  0.5000  0.0000  6 Au 2.69-2.81, 2 Mo 2.81

SG: R-3m (166)
N(E_F), states/eV per atom: 0.882
E_form, eV per atom: 0.374
VASP energy, eV/atom: -60.22



No. 2
Density functional theory data (SCAN) for MoAu3 at its PBEsol-relaxed geometry.

Cell: 9.5300 9.5300 9.5300 Å, 17.16 17.16 17.16°
Closest atoms and distances in Å follow each position.
Element x y z (fractional)
Mo  0.0000  0.0000  0.0000  6 Au 2.81, 6 Mo 2.84
Au  0.2525  0.2525  0.2525  3 Mo 2.81, 9 Au 2.84-2.92
Au  0.5000  0.5000  0.5000  12 Au 2.84-2.92
Au  0.7475  0.7475  0.7475  3 Mo 2.81, 9 Au 2.84-2.92

SG: R-3m (166)
N(E_F), states/eV per atom: 0.668
E_form, eV per atom: 0.144
VASP energy, eV/atom: -60.44



No. 3
Density functional theory data (SCAN) for MoAu3 at its PBEsol-relaxed geometry.

Cell: 2.8022 2.8022 8.3395 Å, 90.00 90.00 90.00°
Closest atoms and distances in Å follow each position.
Element x y z (fractional)
Mo  0.0000  0.0000  0.0000  4 Mo 2.80, 8 Au 2.81
Au  0.0000  0.0000  0.5000  12 Au 2.80-2.94
Au  0.5000  0.5000  0.2395  8 Au 2.80-2.94, 4 Mo 2.81
Au  0.5000  0.5000  0.7605  8 Au 2.80-2.94, 4 Mo 2.81

SG: P4/mmm (123)
N(E_F), states/eV per atom: 0.827
E_form, eV per atom: 0.101
VASP energy, eV/atom: -60.49



No. 4
Density functional theory data (SCAN) for MoAu4 at its PBEsol-relaxed geometry.

Cell: 7.3271 7.3271 7.3271 Å, 150.74 150.74 41.86°
Closest atoms and distances in Å follow each position.
Element x y z (fractional)
Mo  0.0000  0.0000  0.0000  8 Au 2.93
Au  0.2500  0.7500  0.5000  8 Au 2.62-2.81
Au  0.4045  0.4045  0.0000  5 Au 2.62-2.81, 4 Mo 2.93
Au  0.5955  0.5955  0.0000  5 Au 2.62-2.81, 4 Mo 2.93
Au  0.7500  0.2500  0.5000  8 Au 2.62-2.81

SG: I4/mmm (139)
N(E_F), states/eV per atom: 0.718
E_form, eV per atom: 0.494
VASP energy, eV/atom: -61.81